(1)
Material: CoGeBr
Method: DFT, PBE-GGA
State: optimized geometry

a b c (Å): 9.731 9.731 7.547
angles (deg): 99.23 99.23 22.55
Sites, in units of the cell vectors:
Co 0.171 0.171 0.078
Co 0.176 0.176 0.579
Co 0.824 0.824 0.421
Co 0.829 0.829 0.922
Ge 0.250 0.250 0.363
Ge 0.251 0.251 0.871
Ge 0.749 0.749 0.129
Ge 0.750 0.750 0.637
Br 0.089 0.089 0.323
Br 0.401 0.401 0.097
Br 0.599 0.599 0.903
Br 0.911 0.911 0.677

Results
For the total energy, the calculation gives -54.4 eV per cell. As for the density of states at the Fermi level: 5.496 states/eV per cell. The calculation puts the formation energy from raw total energies at -0.072 eV/atom.



(2)
Material: BaU2TeO4
Method: DFT, PBE-GGA
State: optimized geometry

a b c (Å): 3.966 3.966 9.741
angles (deg): 90.00 90.00 90.00
Sites, in units of the cell vectors:
Ba 0.000 0.000 0.000
U 0.500 0.500 0.289
U 0.500 0.500 0.711
Te 0.000 0.000 0.500
O 0.000 0.500 0.194
O 0.000 0.500 0.806
O 0.500 0.000 0.194
O 0.500 0.000 0.806

Results
For the total energy, the calculation gives -68.6 eV per cell. As for the density of states at the Fermi level: 10.033 states/eV per cell. The calculation puts the formation energy from raw total energies at -2.647 eV/atom.



(3)
Material: CeSm5In5
Method: DFT, PBE-GGA
State: optimized geometry

a b c (Å): 9.102 9.102 6.671
angles (deg): 90.16 90.16 37.97
Sites, in units of the cell vectors:
Ce 0.000 0.000 0.000
Sm 0.000 0.000 0.500
Sm 0.322 0.322 0.002
Sm 0.346 0.346 0.502
Sm 0.654 0.654 0.498
Sm 0.678 0.678 0.998
In 0.165 0.165 0.264
In 0.165 0.165 0.735
In 0.500 0.500 0.000
In 0.835 0.835 0.265
In 0.835 0.835 0.736

Results
For the total energy, the calculation gives -45.2 eV per cell. As for the density of states at the Fermi level: 16.069 states/eV per cell. Its energy of formation is -17.0 kJ per mole of atoms.